Run a
Density functional theory data (GGA-PBE) for a geometry-optimized SrCoMo3 structure.

a b c (Å): 4.6605 4.6605 4.6605
angles (deg): 90.00 90.00 90.00
Atoms (fractional coordinates):
Sr (0.5000, 0.5000, 0.5000)
Mo (0.0000, 0.5000, 0.0000)
Mo (0.0000, 0.0000, 0.5000)
Mo (0.5000, 0.0000, 0.0000)
Co (0.0000, 0.0000, 0.0000)

## Properties
Space-group type: No. 221



Run b
Density functional theory data (GGA-PBE) for a geometry-optimized SrCoMo3 structure.

a b c (Å): 4.6699 4.6699 4.6699
angles (deg): 90.00 90.00 90.00
Atoms (fractional coordinates):
Sr (0.0000, 0.0000, 0.0000)
Mo (0.0000, 0.5000, 0.0000)
Mo (0.0000, 0.0000, 0.5000)
Mo (0.5000, 0.0000, 0.0000)
Co (0.5000, 0.5000, 0.5000)

## Properties
Space-group type: No. 221



Which of them is most stable? Easy: run a.



Run a
Density functional theory data (GGA-PBE) for a geometry-optimized TaCoMo2 structure.

a b c (Å): 2.7263 2.7263 8.3919
angles (deg): 90.00 90.00 105.08
Atoms (fractional coordinates):
Co (0.5000, 0.5000, 0.7564)
Mo (0.0000, 0.0000, 0.9774)
Mo (0.5000, 0.5000, 0.2447)
Ta (0.0000, 0.0000, 0.5216)

## Properties
Space-group type: No. 35



Run b
Density functional theory data (GGA-PBE) for a geometry-optimized TaCoMo2 structure.

a b c (Å): 5.0972 5.0972 5.0972
angles (deg): 143.37 128.20 65.10
Atoms (fractional coordinates):
Co (0.2483, 0.7483, 0.5000)
Mo (0.9974, 0.9974, 0.0000)
Mo (0.7547, 0.2547, 0.5000)
Ta (0.4996, 0.4996, 0.0000)

## Properties
Space-group type: No. 44



Which of them is most stable? Easy: run a.



Run a
Density functional theory data (GGA-PBE) for a geometry-optimized TaCoMo2 structure.

a b c (Å): 3.1888 4.3189 4.4303
angles (deg): 90.00 90.00 90.00
Atoms (fractional coordinates):
Co (0.0000, 0.5000, 0.5000)
Mo (0.0000, 0.0000, 0.0000)
Mo (0.5000, 0.5000, 0.0000)
Ta (0.5000, 0.0000, 0.5000)

## Properties
Space-group type: No. 47



Run b
Density functional theory data (GGA-PBE) for a geometry-optimized TaCoMo2 structure.

a b c (Å): 4.3877 2.7224 5.1966
angles (deg): 80.47 90.00 90.00
Atoms (fractional coordinates):
Co (0.5000, 0.7537, 0.7433)
Mo (0.0000, 0.0042, 0.0066)
Mo (0.5000, 0.2429, 0.2410)
Ta (0.0000, 0.4992, 0.5091)

## Properties
Space-group type: No. 6



Which of them is most stable? Easy: run a.



Run a
Density functional theory data (GGA-PBE) for a geometry-optimized TaCo2Mo structure.

a b c (Å): 2.7214 2.7214 7.3394
angles (deg): 90.00 90.00 89.99
Atoms (fractional coordinates):
Co (0.0000, 0.0000, 0.0081)
Co (0.0000, 0.0000, 0.4919)
Mo (0.5000, 0.5000, 0.2500)
Ta (0.5000, 0.5000, 0.7500)

## Properties
Space-group type: No. 123



Run b
Density functional theory data (GGA-PBE) for a geometry-optimized TaCo2Mo structure.

a b c (Å): 8.7819 8.7819 8.7819
angles (deg): 17.87 17.87 17.87
Atoms (fractional coordinates):
Co (0.9978, 0.9978, 0.9978)
Co (0.5022, 0.5022, 0.5022)
Mo (0.2500, 0.2500, 0.2500)
Ta (0.7500, 0.7500, 0.7500)

## Properties
Space-group type: No. 166



Run c
Density functional theory data (GGA-PBE) for a geometry-optimized TaCo2Mo structure.

a b c (Å): 3.8424 3.8424 3.6775
angles (deg): 90.00 90.00 90.00
Atoms (fractional coordinates):
Co (0.0000, 0.0000, 0.0000)
Co (0.5000, 0.5000, 0.0000)
Mo (0.5000, 0.0000, 0.5000)
Ta (0.0000, 0.5000, 0.5000)

## Properties
Space-group type: No. 123



Which of them is most stable? Easy: run c.



Run a
Density functional theory data (GGA-PBE) for a geometry-optimized TaCo2Mo structure.

a b c (Å): 3.1287 3.1287 5.6433
angles (deg): 90.00 90.00 90.00
Atoms (fractional coordinates):
Co (0.0000, 0.0000, 0.0027)
Co (0.5000, 0.5000, 0.2554)
Mo (0.0000, 0.0000, 0.4621)
Ta (0.5000, 0.5000, 0.7798)

## Properties
Space-group type: No. 99



Run b
Density functional theory data (GGA-PBE) for a geometry-optimized TaCo2Mo structure.

a b c (Å): 6.6373 6.6373 5.3842
angles (deg): 51.95 51.95 90.00
Atoms (fractional coordinates):
Mo (0.5000, 0.5000, 0.0000)
Mo (0.2500, 0.7500, 0.5000)
Co (0.6150, 0.1250, 0.2500)
Co (0.1350, 0.6250, 0.2500)
Co (0.3750, 0.3850, 0.7500)
Co (0.8750, 0.8650, 0.7500)
Ta (0.0000, 0.0000, 0.0000)
Ta (0.7500, 0.2500, 0.5000)

## Properties
Space-group type: No. 122



Which of them is most stable? Easy: run a.



Run a
Density functional theory data (GGA-PBE) for a geometry-optimized Ta2CoMo structure.

a b c (Å): 2.7669 2.7669 8.4092
angles (deg): 90.00 90.00 102.96
Atoms (fractional coordinates):
Co (0.0000, 0.0000, 0.5064)
Mo (0.5000, 0.5000, 0.7204)
Ta (0.0000, 0.0000, 0.9944)
Ta (0.5000, 0.5000, 0.2787)

## Properties
Space-group type: No. 35



Run b
Density functional theory data (GGA-PBE) for a geometry-optimized Ta2CoMo structure.

a b c (Å): 9.2167 9.2167 9.2167
angles (deg): 17.87 17.87 17.87
Atoms (fractional coordinates):
Co (0.2500, 0.2500, 0.2500)
Mo (0.7500, 0.7500, 0.7500)
Ta (0.9924, 0.9924, 0.9924)
Ta (0.5076, 0.5076, 0.5076)

## Properties
Space-group type: No. 166



Which of them is most stable? Easy: run a.



Run a
Density functional theory data (GGA-PBE) for a geometry-optimized TaCo4Mo structure.

a b c (Å): 7.9673 4.3822 6.3275
angles (deg): 110.26 129.02 90.00
Atoms (fractional coordinates):
Ta (0.5009, 0.5009, 0.0019)
Ta (0.7491, 0.2491, 0.4981)
Co (0.4059, 0.2404, 0.4803)
Co (0.6579, 0.9922, 0.9848)
Co (0.3269, 0.9926, 0.9848)
Co (0.0745, 0.2399, 0.4803)
Co (0.1755, 0.5101, 0.0197)
Co (0.9231, 0.7574, 0.5152)
Co (0.5921, 0.7578, 0.5152)
Co (0.8441, 0.5096, 0.0197)
Mo (0.9967, 0.9967, 0.9934)
Mo (0.2533, 0.7533, 0.5066)

## Properties
Space-group type: No. 74



Run b
Density functional theory data (GGA-PBE) for a geometry-optimized TaCo4Mo structure.

a b c (Å): 4.7278 4.7278 7.6880
angles (deg): 90.00 90.00 120.00
Atoms (fractional coordinates):
Ta (0.6667, 0.3333, 0.9236)
Ta (0.3333, 0.6667, 0.0764)
Co (0.0000, 0.0000, 0.5000)
Co (0.0000, 0.0000, 0.0000)
Co (0.8310, 0.1690, 0.2496)
Co (0.8310, 0.6619, 0.2496)
Co (0.3381, 0.1690, 0.2496)
Co (0.1690, 0.8310, 0.7504)
Co (0.1690, 0.3381, 0.7504)
Co (0.6619, 0.8310, 0.7504)
Mo (0.3333, 0.6667, 0.4468)
Mo (0.6667, 0.3333, 0.5532)

## Properties
Space-group type: No. 164



Run c
Density functional theory data (GGA-PBE) for a geometry-optimized TaCo4Mo structure.

a b c (Å): 4.7194 4.7194 4.7194
angles (deg): 60.00 60.00 60.00
Atoms (fractional coordinates):
Co (0.1258, 0.6247, 0.6247)
Co (0.6247, 0.6247, 0.6247)
Co (0.6247, 0.1258, 0.6247)
Co (0.6247, 0.6247, 0.1258)
Mo (0.2500, 0.2500, 0.2500)
Ta (0.0000, 0.0000, 0.0000)

## Properties
Space-group type: No. 216



Which of them is most stable? Easy: run b.



Run a
Density functional theory data (GGA-PBE) for a geometry-optimized Ta3CoMo structure.

a b c (Å): 4.7675 4.7675 4.7675
angles (deg): 90.00 90.00 90.00
Atoms (fractional coordinates):
Mo (0.0000, 0.0000, 0.0000)
Co (0.5000, 0.5000, 0.5000)
Ta (0.0000, 0.5000, 0.0000)
Ta (0.0000, 0.0000, 0.5000)
Ta (0.5000, 0.0000, 0.0000)

## Properties
Space-group type: No. 221



Run b
Density functional theory data (GGA-PBE) for a geometry-optimized Ta3CoMo structure.

a b c (Å): 4.5398 4.5398 4.5398
angles (deg): 90.00 90.00 90.00
Atoms (fractional coordinates):
Mo (0.5000, 0.5000, 0.5000)
Co (0.0000, 0.0000, 0.0000)
Ta (0.0000, 0.5000, 0.0000)
Ta (0.0000, 0.0000, 0.5000)
Ta (0.5000, 0.0000, 0.0000)

## Properties
Space-group type: No. 221



Which of them is most stable? Easy: run b.



Run a
Density functional theory data (GGA-PBE) for a geometry-optimized CoTcMo2 structure.

a b c (Å): 2.6560 2.6560 8.2925
angles (deg): 90.00 90.00 102.83
Atoms (fractional coordinates):
Co (0.5000, 0.5000, 0.7426)
Mo (0.0000, 0.0000, 0.9783)
Mo (0.5000, 0.5000, 0.2549)
Tc (0.0000, 0.0000, 0.5242)

## Properties
Space-group type: No. 35



Run b
Density functional theory data (GGA-PBE) for a geometry-optimized CoTcMo2 structure.

a b c (Å): 9.1756 9.1756 9.1756
angles (deg): 17.04 17.04 17.04
Atoms (fractional coordinates):
Co (0.7515, 0.7515, 0.7515)
Mo (0.0065, 0.0065, 0.0065)
Mo (0.2477, 0.2477, 0.2477)
Tc (0.4943, 0.4943, 0.4943)

## Properties
Space-group type: No. 160



Which of them is most stable? Easy: run a.



Run a
Density functional theory data (GGA-PBE) for a geometry-optimized CoTcMo2 structure.

a b c (Å): 4.6725 4.6725 4.6725
angles (deg): 130.97 130.86 71.95
Atoms (fractional coordinates):
Co (0.2500, 0.7500, 0.5000)
Mo (0.0000, 0.0000, 0.0000)
Mo (0.5000, 0.5000, 0.0000)
Tc (0.7500, 0.2500, 0.5000)

## Properties
Space-group type: No. 139



Run b
Density functional theory data (GGA-PBE) for a geometry-optimized CoTcMo2 structure.

a b c (Å): 6.8264 6.8264 5.4854
angles (deg): 51.52 51.52 90.00
Atoms (fractional coordinates):
Mo (0.6065, 0.1250, 0.2500)
Mo (0.1435, 0.6250, 0.2500)
Mo (0.3750, 0.3935, 0.7500)
Mo (0.8750, 0.8565, 0.7500)
Co (0.5000, 0.5000, 0.0000)
Co (0.2500, 0.7500, 0.5000)
Tc (0.0000, 0.0000, 0.0000)
Tc (0.7500, 0.2500, 0.5000)

## Properties
Space-group type: No. 122



Run c
Density functional theory data (GGA-PBE) for a geometry-optimized CoTcMo2 structure.

a b c (Å): 2.7285 2.7285 7.6362
angles (deg): 90.00 90.00 90.00
Atoms (fractional coordinates):
Co (0.5000, 0.5000, 0.7500)
Mo (0.0000, 0.0000, 0.9848)
Mo (0.0000, 0.0000, 0.5152)
Tc (0.5000, 0.5000, 0.2500)

## Properties
Space-group type: No. 123



Run d
Density functional theory data (GGA-PBE) for a geometry-optimized CoTcMo2 structure.

a b c (Å): 2.6724 2.6724 8.2116
angles (deg): 90.00 90.00 103.89
Atoms (fractional coordinates):
Co (0.5000, 0.5000, 0.7500)
Mo (0.0000, 0.0000, 0.9809)
Mo (0.0000, 0.0000, 0.5191)
Tc (0.5000, 0.5000, 0.2500)

## Properties
Space-group type: No. 65



Which of them is most stable? Easy: run a.



Run a
Density functional theory data (GGA-PBE) for a geometry-optimized CoTcMo2 structure.

a b c (Å): 4.6880 4.6880 4.7579
angles (deg): 80.57 80.57 33.69
Atoms (fractional coordinates):
Co (0.2500, 0.2500, 0.2500)
Mo (0.9898, 0.9898, 0.0108)
Mo (0.5102, 0.5102, 0.4892)
Tc (0.7500, 0.7500, 0.7500)

## Properties
Space-group type: No. 12



Run b
Density functional theory data (GGA-PBE) for a geometry-optimized CoTcMo2 structure.

a b c (Å): 3.1618 3.1613 5.7502
angles (deg): 90.00 90.00 90.00
Atoms (fractional coordinates):
Co (0.5000, 0.5000, 0.7719)
Mo (0.0000, 0.0000, 0.9656)
Mo (0.5000, 0.5000, 0.2595)
Tc (0.0000, 0.0000, 0.5029)

## Properties
Space-group type: No. 99



Run c
Density functional theory data (GGA-PBE) for a geometry-optimized CoTcMo2 structure.

a b c (Å): 3.8616 3.8614 3.8121
angles (deg): 90.00 90.00 90.00
Atoms (fractional coordinates):
Co (0.0000, 0.5000, 0.5000)
Mo (0.0000, 0.0000, 0.0000)
Mo (0.5000, 0.5000, 0.0000)
Tc (0.5000, 0.0000, 0.5000)

## Properties
Space-group type: No. 123



Which of them is most stable? Easy: run c.